[1]
Computed, not measured: an optimized crystal structure of La3Sm6Y2 at the PBE level of DFT.

Results
- crystal system = tetragonal

abc: 17.3478 17.3478 17.3478
angles: 163.95 163.95 22.78
Last column: nearest neighbours and their distance in Å.
Positions (direct):
La 0.0000 0.0000 0.0000  8 Y 3.76
La 0.2060 0.2060 0.0000  9 Sm 3.46-3.81
La 0.7940 0.7940 0.0000  9 Sm 3.46-3.81
Sm 0.1196 0.6196 0.5000  6 Sm 3.43-3.44, 2 Y 3.49, 2 La 3.81
Sm 0.3084 0.3084 0.0000  4 Sm 3.44, 5 La 3.46-3.48
Sm 0.3804 0.8804 0.5000  6 Sm 3.43-3.44, 2 Y 3.49, 2 La 3.81
Sm 0.6196 0.1196 0.5000  6 Sm 3.43-3.44, 2 Y 3.49, 2 La 3.81
Sm 0.6916 0.6916 0.0000  4 Sm 3.44, 5 La 3.46-3.48
Sm 0.8804 0.3804 0.5000  6 Sm 3.43-3.44, 2 Y 3.49, 2 La 3.81
Y 0.4542 0.4542 0.0000  1 Y 3.12, 4 Sm 3.49
Y 0.5458 0.5458 0.0000  1 Y 3.12, 4 Sm 3.49



[2]
Computed, not measured: an optimized crystal structure of La3Sm3Y4 at the PBE level of DFT.

Results
- crystal system = orthorhombic

abc: 3.6809 9.7747 9.7747
angles: 90.02 90.00 90.00
Last column: nearest neighbours and their distance in Å.
Positions (direct):
La 0.0000 0.0000 0.0000  6 Y 3.37-3.51, 2 La 3.68
La 0.5000 0.3279 0.8236  4 La 3.68-4.08, 4 Y 3.82-3.94, 6 Sm 4.02-4.06
La 0.5000 0.8236 0.3279  4 La 3.68-4.08, 4 Y 3.82-3.94, 6 Sm 4.02-4.06
Sm 0.0000 0.1513 0.4996  6 Y 3.36-3.47, 2 Sm 3.68
Sm 0.0000 0.4996 0.1513  6 Y 3.36-3.47, 2 Sm 3.68
Sm 0.0000 0.6496 0.6496  6 Y 3.35-3.45, 2 Sm 3.68
Y 0.5000 0.2046 0.2046  3 Y 3.36-3.68, 2 La 3.37, 4 Sm 3.46
Y 0.5000 0.4474 0.4474  6 Sm 3.35-3.47, 3 Y 3.36-3.68
Y 0.5000 0.6992 0.9446  4 Sm 3.36-3.45, 3 Y 3.39-3.68, 2 La 3.51
Y 0.5000 0.9446 0.6992  4 Sm 3.36-3.45, 3 Y 3.39-3.68, 2 La 3.51



[3]
Computed, not measured: an optimized crystal structure of La7Sm3Y at the PBE level of DFT.

Results
- crystal system = monoclinic
- ΔE to the lowest computed polymorph (eV/atom) = 0.057

abc: 7.8603 7.8603 6.5922
angles: 94.20 94.20 82.31
Last column: nearest neighbours and their distance in Å.
Positions (direct):
La 0.0000 0.0000 0.0000  2 Y 3.30, 2 Sm 3.42, 2 La 3.52
La 0.0723 0.4307 0.2659  4 La 3.34-3.71, 3 Sm 3.57-3.69
La 0.2621 0.2621 0.7884  5 La 3.34-3.67, 1 Y 3.48, 3 Sm 3.49-3.55
La 0.4307 0.0723 0.2659  4 La 3.34-3.71, 3 Sm 3.57-3.69
La 0.5693 0.9277 0.7341  4 La 3.34-3.71, 3 Sm 3.57-3.69
La 0.7379 0.7379 0.2116  5 La 3.34-3.67, 1 Y 3.48, 3 Sm 3.49-3.55
La 0.9277 0.5693 0.7341  4 La 3.34-3.71, 3 Sm 3.57-3.69
Sm 0.3309 0.6691 0.0000  7 La 3.42-3.66, 3 Sm 3.50-3.73
Sm 0.5000 0.5000 0.5000  6 La 3.55-3.69, 4 Sm 3.73
Sm 0.6691 0.3309 0.0000  7 La 3.42-3.66, 3 Sm 3.50-3.73
Y 0.0000 0.0000 0.5000  4 La 3.30-3.48



[4]
Computed, not measured: an optimized crystal structure of LaSm3Zn4 at the PBE level of DFT.

Results
- crystal system = orthorhombic

abc: 10.3633 7.3643 5.1829
angles: 90.00 90.00 90.00
Last column: nearest neighbours and their distance in Å.
Positions (direct):
La 0.0000 0.0000 0.0000  8 Zn 3.21
La 0.5000 0.0000 0.0000  8 Zn 3.21
Sm 0.0000 0.5000 0.0000  8 Zn 3.15
Sm 0.2500 0.0000 0.4986  8 Zn 3.21
Sm 0.2500 0.5000 0.4987  8 Zn 3.15
Sm 0.5000 0.5000 0.0000  8 Zn 3.15
Sm 0.7500 0.0000 0.5014  8 Zn 3.21
Sm 0.7500 0.5000 0.5013  8 Zn 3.15
Zn 0.0000 0.2574 0.5000  6 Sm 3.15-3.21, 2 La 3.21
Zn 0.0000 0.7426 0.5000  6 Sm 3.15-3.21, 2 La 3.21
Zn 0.2500 0.2573 0.9980  6 Sm 3.15-3.21, 2 La 3.21
Zn 0.2500 0.7427 0.9980  6 Sm 3.15-3.21, 2 La 3.21
Zn 0.5000 0.2574 0.5000  6 Sm 3.15-3.21, 2 La 3.21
Zn 0.5000 0.7426 0.5000  6 Sm 3.15-3.21, 2 La 3.21
Zn 0.7500 0.2573 0.0020  6 Sm 3.15-3.21, 2 La 3.21
Zn 0.7500 0.7427 0.0020  6 Sm 3.15-3.21, 2 La 3.21



[5]
Computed, not measured: an optimized crystal structure of La5SmZn at the PBE level of DFT.

Results
- crystal system = tetragonal

abc: 5.2289 5.2289 8.8899
angles: 90.00 90.00 90.00
Last column: nearest neighbours and their distance in Å.
Positions (direct):
La 0.0000 0.0000 0.0000  8 La 3.69, 4 Sm 3.70
La 0.0000 0.5000 0.2932  2 Zn 3.20
La 0.0000 0.5000 0.7068  2 Zn 3.20
La 0.5000 0.0000 0.2932  2 Zn 3.20
La 0.5000 0.0000 0.7068  2 Zn 3.20
Sm 0.5000 0.5000 0.0000  12 La 3.69-3.70
Zn 0.5000 0.5000 0.5000  8 La 3.20



[6]
Computed, not measured: an optimized crystal structure of La3SmZn2 at the PBE level of DFT.

Results
- crystal system = tetragonal
- ΔE to the lowest computed polymorph (eV/atom) = 0.007

abc: 3.7635 3.7635 12.5939
angles: 90.00 90.00 90.00
Last column: nearest neighbours and their distance in Å.
Positions (direct):
La 0.0000 0.0000 0.0000  8 Zn 3.26
La 0.0000 0.0000 0.2943  4 Zn 3.22
La 0.0000 0.0000 0.7057  4 Zn 3.22
Sm 0.5000 0.5000 0.5000  8 La 3.71, 4 Sm 3.76
Zn 0.5000 0.5000 0.1500  8 La 3.22-3.26
Zn 0.5000 0.5000 0.8500  8 La 3.22-3.26



[7]
Computed, not measured: an optimized crystal structure of La3SmZn at the PBE level of DFT.

Results
- crystal system = orthorhombic
- ΔE to the lowest computed polymorph (eV/atom) = 0.110

abc: 8.6609 8.6609 5.3615
angles: 90.00 90.00 122.36
Last column: nearest neighbours and their distance in Å.
Positions (direct):
La 0.0898 0.9102 0.7500  2 Zn 3.71, 6 La 3.77-3.82
La 0.1383 0.4501 0.7500  1 Zn 2.91
La 0.4501 0.1383 0.2500  1 Zn 2.91
La 0.5499 0.8617 0.7500  1 Zn 2.91
La 0.8617 0.5499 0.2500  1 Zn 2.91
La 0.9102 0.0898 0.2500  2 Zn 3.71, 6 La 3.77-3.82
Sm 0.4460 0.5540 0.2500  1 Zn 2.84, 2 Sm 3.14
Sm 0.5540 0.4460 0.7500  1 Zn 2.84, 2 Sm 3.14
Zn 0.2588 0.7412 0.2500  1 Sm 2.84, 2 La 2.91
Zn 0.7412 0.2588 0.7500  1 Sm 2.84, 2 La 2.91



[8]
Computed, not measured: an optimized crystal structure of LaSm3Zn2 at the PBE level of DFT.

Results
- crystal system = tetragonal

abc: 3.6563 3.6563 12.5058
angles: 90.00 90.00 90.00
Last column: nearest neighbours and their distance in Å.
Positions (direct):
La 0.0000 0.0000 0.0000  4 La 3.66, 8 Sm 3.71
Sm 0.5000 0.5000 0.2133  4 Zn 3.14
Sm 0.5000 0.5000 0.5000  8 Zn 3.15
Sm 0.5000 0.5000 0.7867  4 Zn 3.14
Zn 0.0000 0.0000 0.3556  8 Sm 3.14-3.15
Zn 0.0000 0.0000 0.6444  8 Sm 3.14-3.15



[9]
Computed, not measured: an optimized crystal structure of La2SmZn at the PBE level of DFT.

Results
- crystal system = tetragonal
- ΔE to the lowest computed polymorph (eV/atom) = 0.000

abc: 9.5518 9.5518 9.5518
angles: 147.93 147.93 45.98
Last column: nearest neighbours and their distance in Å.
Positions (direct):
La 0.0000 0.5000 0.5000  8 La 3.65-3.73, 4 Sm 3.74
La 0.1432 0.1432 0.0000  4 Zn 3.24
La 0.5000 0.0000 0.5000  8 La 3.65-3.73, 4 Sm 3.74
La 0.8568 0.8568 0.0000  4 Zn 3.24
Sm 0.3495 0.3495 0.0000  4 Zn 3.17
Sm 0.6505 0.6505 0.0000  4 Zn 3.17
Zn 0.2500 0.7500 0.5000  4 Sm 3.17, 4 La 3.24
Zn 0.7500 0.2500 0.5000  4 Sm 3.17, 4 La 3.24



[10]
Computed, not measured: an optimized crystal structure of La2SmZn at the PBE level of DFT.

Results
- crystal system = trigonal
- ΔE to the lowest computed polymorph (eV/atom) = 0.131

abc: 10.9398 10.9398 10.9398
angles: 19.63 19.63 19.63
Last column: nearest neighbours and their distance in Å.
Positions (direct):
La 0.0000 0.0000 0.0000  3 Zn 3.18
La 0.1879 0.1879 0.1879  3 Zn 3.18
Sm 0.4267 0.4267 0.4267  6 La 3.70-3.73, 6 Sm 3.73
Zn 0.5941 0.5941 0.5941  6 La 3.18



[11]
Computed, not measured: an optimized crystal structure of LaSm3Zn at the PBE level of DFT.

Results
- crystal system = orthorhombic

abc: 8.4127 8.4127 5.2838
angles: 90.00 90.00 120.19
Last column: nearest neighbours and their distance in Å.
Positions (direct):
La 0.0897 0.9103 0.7500  2 Zn 3.55, 2 La 3.72, 4 Sm 3.75
La 0.9103 0.0897 0.2500  2 Zn 3.55, 2 La 3.72, 4 Sm 3.75
Sm 0.1363 0.4529 0.7500  1 Zn 2.83
Sm 0.4444 0.5556 0.2500  1 Zn 2.80, 2 Sm 3.10
Sm 0.4529 0.1363 0.2500  1 Zn 2.83
Sm 0.5471 0.8637 0.7500  1 Zn 2.83
Sm 0.5556 0.4444 0.7500  1 Zn 2.80, 2 Sm 3.10
Sm 0.8637 0.5471 0.2500  1 Zn 2.83
Zn 0.2522 0.7478 0.2500  3 Sm 2.80-2.83
Zn 0.7478 0.2522 0.7500  3 Sm 2.80-2.83



[12]
Computed, not measured: an optimized crystal structure of La3SmZn at the PBE level of DFT.

Results
- crystal system = triclinic
- ΔE to the lowest computed polymorph (eV/atom) = 0.000

abc: 3.7929 8.7450 10.1888
angles: 102.69 100.72 90.02
Last column: nearest neighbours and their distance in Å.
Positions (direct):
La 0.0011 0.2965 0.0038  4 Zn 3.23-3.34, 2 La 3.58
La 0.1856 0.3786 0.3705  2 Zn 3.21, 3 La 3.51-3.58
La 0.1959 0.8189 0.3942  2 Zn 3.19
La 0.8041 0.1811 0.6058  2 Zn 3.19
La 0.8144 0.6214 0.6295  2 Zn 3.21, 3 La 3.51-3.58
La 0.9989 0.7035 0.9962  4 Zn 3.23-3.34, 2 La 3.58
Sm 0.4068 0.9629 0.8151  3 Sm 3.61-3.79, 8 La 3.63-3.73
Sm 0.5932 0.0371 0.1849  3 Sm 3.61-3.79, 8 La 3.63-3.73
Zn 0.3978 0.4325 0.7956  8 La 3.19-3.34
Zn 0.6022 0.5675 0.2044  8 La 3.19-3.34



no.,formation enthalpy at 0 K (kJ/mol of formula units)
1,280
2,92
3,233
4,-242
5,9
6,-115
7,1
8,-124
9,-60
10,-9
11,3
12,-52